Entry 1:
This record from Alexandria via LeMat-Bulk describes crystalline PmPuThSc at its relaxed geometry. The functional is PBE.

The structure in CIF format:
```
data_PmPuThSc
_symmetry_space_group_name_H-M 'P 1'
_symmetry_Int_Tables_number 1
_symmetry_space_group_name_Hall 'P 1'
_cell_length_a 5.4888
_cell_length_b 5.4888
_cell_length_c 5.4888
_cell_angle_alpha 60.00
_cell_angle_beta 60.00
_cell_angle_gamma 60.00
loop_
_atom_site_label
_atom_site_type_symbol
_atom_site_fract_x
_atom_site_fract_y
_atom_site_fract_z
_atom_site_occupancy
Pm1 Pm 0.0000 0.0000 0.0000 1
Pu1 Pu 0.2500 0.2500 0.2500 1
Th1 Th 0.5000 0.5000 0.5000 1
Sc1 Sc 0.7500 0.7500 0.7500 1
```

Output
**Total energy**: -8.021 eV/atom
**Formation enthalpy at 0 K**: 188 meV/atom
**Space-group type**: F-43m
**Total magnetization**: 7.28 μB per formula unit
**Crystal system**: cubic


Entry 2:
This record from Alexandria via LeMat-Bulk describes crystalline PrCoSi at its relaxed geometry. The functional is PBE.

The structure in CIF format:
```
data_PrCoSi
_symmetry_space_group_name_H-M 'P 1'
_symmetry_Int_Tables_number 1
_symmetry_space_group_name_Hall 'P 1'
_cell_length_a 4.0017
_cell_length_b 4.0017
_cell_length_c 4.3015
_cell_angle_alpha 90.00
_cell_angle_beta 90.00
_cell_angle_gamma 120.00
loop_
_atom_site_label
_atom_site_type_symbol
_atom_site_fract_x
_atom_site_fract_y
_atom_site_fract_z
_atom_site_occupancy
Pr1 Pr 0.0000 0.0000 0.0000 1
Co1 Co 0.6667 0.3333 0.5000 1
Si1 Si 0.3333 0.6667 0.5000 1
```

Output
**Total energy**: -6.293 eV/atom
**Space-group type**: P-6m2
**Total magnetization**: 0.43 μB per formula unit
**Formation energy without anion corrections**: -0.523 eV/atom
**Crystal system**: hexagonal